Here is a relaxed structure of Li2TaIn from Alexandria. Energies are from PBE-GGA.

Unit cell a=2.812 b=4.323 c=6.085 alpha=90.00 beta=102.52 gamma=90.00
Positions (direct):
Li 0.000 0.000 0.000
Li 0.247 0.500 0.225
Ta 0.841 0.000 0.487
In 0.448 0.500 0.748



Here is a relaxed structure of AcCeAgRu from Alexandria. Energies are from PBE-GGA.

Unit cell a=5.221 b=5.221 c=5.221 alpha=60.00 beta=60.00 gamma=60.00
Positions (direct):
Ac 0.000 0.000 0.000
Ce 0.500 0.500 0.500
Ag 0.750 0.750 0.750
Ru 0.250 0.250 0.250



Here is a relaxed structure of UGa3Ir3 from Alexandria. Energies are from PBE-GGA.

Unit cell a=7.286 b=7.286 c=7.286 alpha=54.83 beta=54.83 gamma=54.83
Positions (direct):
U 0.162 0.162 0.162
U 0.838 0.838 0.838
Ga 0.037 0.600 0.246
Ga 0.246 0.037 0.600
Ga 0.400 0.754 0.963
Ga 0.600 0.246 0.037
Ga 0.754 0.963 0.400
Ga 0.963 0.400 0.754
Ir 0.186 0.697 0.425
Ir 0.303 0.575 0.814
Ir 0.425 0.186 0.697
Ir 0.575 0.814 0.303
Ir 0.697 0.425 0.186
Ir 0.814 0.303 0.575

Summary:
Energy relative to the lowest polymorph listed for this composition   0.000 eV/atom



| no. | total magnetization (μB per atom) | E_tot (eV/atom) | formation energy from the elements (eV per atom) |
| --- | --- | --- | --- |
| 1 | 0.000 | -4.361 | 0.244 |
| 2 | 0.199 | -5.621 | -0.079 |
| 3 | 0.106 | -7.167 | -0.460 |